Record 1
First-principles (PBE) data for a geometry-optimized Rb2TlHg2Se4 structure, as listed in Alexandria.

Results
Total magnetization, μB per formula unit: 0.00
SG: No. 12
Raw formation energy, meV per atom: -558

Lattice parameters (Å, degrees): 9.1863 9.1863 7.9299 109.40 109.40 27.61
Last column: nearest neighbours and their distance in Å.
Element x y z (fractional)
Rb1 0.1301 0.1301 0.0450  7 Se 3.57-3.63, 2 Hg 3.99
Rb2 0.8699 0.8699 0.9550  7 Se 3.57-3.63, 2 Hg 3.99
Tl1 0.0000 0.0000 0.5000  4 Se 3.12
Hg1 0.3367 0.3367 0.5156  4 Se 2.66-2.96
Hg2 0.6633 0.6633 0.4844  4 Se 2.66-2.96
Se1 0.2152 0.2152 0.6936  3 Hg 2.71-2.96
Se2 0.4815 0.4815 0.7636  1 Hg 2.66
Se3 0.5185 0.5185 0.2364  1 Hg 2.66
Se4 0.7848 0.7848 0.3064  3 Hg 2.71-2.96

Record 2
First-principles (PBE) data for a geometry-optimized GdNbRu structure, as listed in Alexandria.

Results
Total magnetization, μB per formula unit: 7.25
SG: No. 107
E_form, eV/atom: -0.0859

Lattice parameters (Å, degrees): 3.2756 3.2756 11.1778 90.00 90.00 90.00
Last column: nearest neighbours and their distance in Å.
Element x y z (fractional)
Gd1 0.0000 0.0000 0.0000  4 Ru 3.08, 5 Nb 3.20-3.38, 4 Gd 3.28
Gd2 0.5000 0.5000 0.5000  4 Ru 3.08, 5 Nb 3.20-3.38, 4 Gd 3.28
Nb1 0.0000 0.0000 0.3028  4 Ru 2.68
Nb2 0.5000 0.5000 0.8028  4 Ru 2.68
Ru1 0.0000 0.0000 0.6813  4 Nb 2.68
Ru2 0.5000 0.5000 0.1813  4 Nb 2.68

Record 3
First-principles (PBE) data for a geometry-optimized AcTb2Sm structure, as listed in Alexandria.

Results
Offset from the most stable computed form, eV per atom: 0.087
Total magnetization, μB per formula unit: 0.00
SG: No. 225
E_form, eV/atom: 0.1309

Lattice parameters (Å, degrees): 8.2940 8.2940 8.2940 90.00 90.00 90.00
Last column: nearest neighbours and their distance in Å.
Element x y z (fractional)
Ac1 0.0000 0.0000 0.0000  8 Tb 3.59
Ac2 0.0000 0.5000 0.5000  8 Tb 3.59
Ac3 0.5000 0.0000 0.5000  8 Tb 3.59
Ac4 0.5000 0.5000 0.0000  8 Tb 3.59
Tb1 0.2500 0.2500 0.2500  4 Ac 3.59, 4 Sm 3.59
Tb2 0.2500 0.2500 0.7500  4 Ac 3.59, 4 Sm 3.59
Tb3 0.2500 0.7500 0.2500  4 Ac 3.59, 4 Sm 3.59
Tb4 0.2500 0.7500 0.7500  4 Ac 3.59, 4 Sm 3.59
Tb5 0.7500 0.2500 0.2500  4 Ac 3.59, 4 Sm 3.59
Tb6 0.7500 0.2500 0.7500  4 Ac 3.59, 4 Sm 3.59
Tb7 0.7500 0.7500 0.2500  4 Ac 3.59, 4 Sm 3.59
Tb8 0.7500 0.7500 0.7500  4 Ac 3.59, 4 Sm 3.59
Sm1 0.0000 0.0000 0.5000  8 Tb 3.59
Sm2 0.0000 0.5000 0.0000  8 Tb 3.59
Sm3 0.5000 0.0000 0.0000  8 Tb 3.59
Sm4 0.5000 0.5000 0.5000  8 Tb 3.59

Record 4
First-principles (PBE) data for a geometry-optimized Sr3FePt structure, as listed in Alexandria.

Results
Offset from the most stable computed form, eV per atom: 0.000
Total magnetization, μB per formula unit: 3.03
SG: No. 221
E_form, eV/atom: 0.1817

Lattice parameters (Å, degrees): 5.8306 5.8306 5.8306 90.00 90.00 90.00
Last column: nearest neighbours and their distance in Å.
Element x y z (fractional)
Sr1 0.0000 0.0000 0.5000  2 Pt 2.92
Sr2 0.0000 0.5000 0.0000  2 Pt 2.92
Sr3 0.5000 0.0000 0.0000  2 Pt 2.92
Fe1 0.5000 0.5000 0.5000  12 Sr 4.12
Pt1 0.0000 0.0000 0.0000  6 Sr 2.92

Record 5
First-principles (PBE) data for a geometry-optimized La3Nd6Sc structure, as listed in Alexandria.

Results
Offset from the most stable computed form, eV per atom: 0.000
Total magnetization, μB per formula unit: 0.00
SG: No. 11
E_form, eV/atom: 0.0920

Lattice parameters (Å, degrees): 14.4152 3.6497 14.6088 90.00 114.12 90.00
Last column: nearest neighbours and their distance in Å.
Element x y z (fractional)
La1 0.0414 0.2500 0.1189  8 Nd 3.56-3.71, 4 La 3.65-3.67
La2 0.1356 0.2500 0.5792  6 Nd 3.58-3.96, 2 La 3.65
La3 0.3853 0.7500 0.5411  6 Nd 3.63-3.96, 2 La 3.65
La4 0.6147 0.2500 0.4589  6 Nd 3.63-3.96, 2 La 3.65
La5 0.8644 0.7500 0.4208  6 Nd 3.58-3.96, 2 La 3.65
La6 0.9586 0.7500 0.8811  8 Nd 3.56-3.71, 4 La 3.65-3.67
Nd1 0.1072 0.7500 0.3581  5 Nd 3.58-3.65, 6 La 3.58-3.96
Nd2 0.1478 0.2500 0.8310  7 Nd 3.55-3.65, 3 La 3.60-3.61, 1 Sc 3.65
Nd3 0.2280 0.7500 0.0592  5 Nd 3.33-3.65, 2 Sc 3.50, 3 La 3.64-3.69
Nd4 0.2955 0.2500 0.3046  3 La 3.56-3.65, 8 Nd 3.58-3.78
Nd5 0.3388 0.7500 0.7903  6 Nd 3.46-3.65, 3 Sc 3.51-3.57, 2 La 3.75
Nd6 0.4672 0.7500 0.2311  7 Nd 3.33-3.65, 2 Sc 3.46, 2 La 3.63
Nd7 0.5328 0.2500 0.7689  7 Nd 3.33-3.65, 2 Sc 3.46, 2 La 3.63
Nd8 0.6612 0.2500 0.2097  6 Nd 3.46-3.65, 3 Sc 3.51-3.57, 2 La 3.75
Nd9 0.7045 0.7500 0.6954  3 La 3.56-3.65, 8 Nd 3.58-3.78
Nd10 0.7720 0.2500 0.9408  5 Nd 3.33-3.65, 2 Sc 3.50, 3 La 3.64-3.69
Nd11 0.8522 0.7500 0.1690  7 Nd 3.55-3.65, 3 La 3.60-3.61, 1 Sc 3.65
Nd12 0.8928 0.2500 0.6419  5 Nd 3.58-3.65, 6 La 3.58-3.96
Sc1 0.4116 0.2500 0.0138  4 Sc 3.29-3.65, 8 Nd 3.46-3.65
Sc2 0.5884 0.7500 0.9862  4 Sc 3.29-3.65, 8 Nd 3.46-3.65

Record 6
First-principles (PBE) data for a geometry-optimized Na3SiO structure, as listed in Alexandria.

Results
Offset from the most stable computed form, eV per atom: 0.000
Total magnetization, μB per formula unit: 0.00
SG: No. 221
Raw formation energy, meV per atom: -295

Lattice parameters (Å, degrees): 4.6198 4.6198 4.6198 90.00 90.00 90.00
Last column: nearest neighbours and their distance in Å.
Element x y z (fractional)
Na1 0.0000 0.0000 0.5000  2 O 2.31
Na2 0.0000 0.5000 0.0000  2 O 2.31
Na3 0.5000 0.0000 0.0000  2 O 2.31
Si1 0.5000 0.5000 0.5000  12 Na 3.27
O1 0.0000 0.0000 0.0000  6 Na 2.31